Record 1
2
Lattice="3.656 0.000 0.000 0.000 3.656 0.000 0.000 0.000 3.656" Properties=species:S:1:pos:R:3 comment="GdAg, optimized geometry, DFT PBE" e_tot_ev_per_fu=-8.1 spacegroup=Pm-3m delta_e_f_ev_per_atom=-0.318 pbc="T T T"
Gd 0.000 0.000 0.000
Ag 1.828 1.828 1.828

Record 2
16
Lattice="6.626 0.000 0.000 0.000 6.626 0.000 0.000 0.000 6.626" Properties=species:S:1:pos:R:3 comment="NbAs2Au, optimized geometry, DFT PBE" e_tot_ev_per_fu=-21.5 spacegroup=F-43m pbc="T T T"
Nb 0.000 0.000 0.000
Nb 0.000 3.313 3.313
Nb 3.313 0.000 3.313
Nb 3.313 3.313 0.000
As 0.000 0.000 3.313
As 0.000 3.313 0.000
As 1.657 1.657 4.970
As 1.657 4.970 1.657
As 3.313 0.000 0.000
As 3.313 3.313 3.313
As 4.970 1.657 1.657
As 4.970 4.970 4.970
Au 1.657 1.657 1.657
Au 1.657 4.970 4.970
Au 4.970 1.657 4.970
Au 4.970 4.970 1.657

Record 3
12
Lattice="3.206 0.000 0.000 0.000 5.319 0.000 0.000 0.000 8.373" Properties=species:S:1:pos:R:3 comment="TmTlB4, optimized geometry, DFT PBE" e_tot_ev_per_fu=-33.4 spacegroup=Immm e_above_lowest_polymorph_ev_per_atom=0.000 pbc="T T T"
Tm 0.000 0.000 0.000
Tm 1.603 2.660 4.187
Tl 0.000 0.000 4.187
Tl 1.603 2.660 0.000
B 0.000 1.731 2.200
B 0.000 1.731 6.173
B 0.000 3.588 2.200
B 0.000 3.588 6.173
B 1.603 0.929 1.987
B 1.603 0.929 6.387
B 1.603 4.391 1.987
B 1.603 4.391 6.387